(1)
A plane-wave DFT calculation with PBE was carried out for a geometry-optimized Mg2AgPt2 structure.

Computed properties:
DFT formation energy (eV per formula unit): -2.90
Energy (eV/atom): -4.203
N(E_F) (states/eV/f.u.): 1.5
Crystal system: tetragonal

a b c (Å): 7.6150 7.6150 2.9723
angles (deg): 90.00 90.00 90.00
Closest atoms and distances in Å follow each position.
Element x y z (fractional)
Mg (0.1595, 0.6595, 0.5000)  6 Pt 2.64-2.71
Mg (0.6595, 0.8405, 0.5000)  6 Pt 2.64-2.71
Mg (0.8405, 0.3405, 0.5000)  6 Pt 2.64-2.71
Mg (0.3405, 0.1595, 0.5000)  6 Pt 2.64-2.71
Ag (0.0000, 0.0000, 0.0000)  4 Pt 2.95, 2 Ag 2.97, 8 Mg 3.23
Ag (0.5000, 0.5000, 0.0000)  4 Pt 2.95, 2 Ag 2.97, 8 Mg 3.23
Pt (0.3622, 0.8622, 0.0000)  6 Mg 2.64-2.71, 2 Ag 2.95
Pt (0.8622, 0.6378, 0.0000)  6 Mg 2.64-2.71, 2 Ag 2.95
Pt (0.6378, 0.1378, 0.0000)  6 Mg 2.64-2.71, 2 Ag 2.95
Pt (0.1378, 0.3622, 0.0000)  6 Mg 2.64-2.71, 2 Ag 2.95


(2)
A plane-wave DFT calculation with PBE was carried out for a geometry-optimized MgAgPt structure.

Computed properties:
DFT formation energy (eV per formula unit): -0.67
Energy (eV/atom): -3.720
N(E_F) (states/eV/f.u.): 1.2
Crystal system: cubic

a b c (Å): 4.4340 4.4340 4.4340
angles (deg): 60.00 60.00 60.00
Closest atoms and distances in Å follow each position.
Element x y z (fractional)
Ag (0.0000, 0.0000, 0.0000)  4 Pt 2.72
Mg (0.5000, 0.5000, 0.5000)  4 Pt 2.72
Pt (0.7500, 0.7500, 0.7500)  4 Mg 2.72, 4 Ag 2.72


(3)
A plane-wave DFT calculation with PBE was carried out for a geometry-optimized Mg6AgPt5 structure.

Computed properties:
DFT formation energy (eV per formula unit): -9.15
Energy (eV/atom): -4.314
N(E_F) (states/eV/f.u.): 2.4
Crystal system: monoclinic

a b c (Å): 4.4875 6.4732 7.2777
angles (deg): 90.00 112.54 90.00
Closest atoms and distances in Å follow each position.
Element x y z (fractional)
Mg (0.8318, 0.7462, 0.6586)  7 Pt 2.73-2.80, 1 Ag 2.83, 1 Mg 2.99
Mg (0.8318, 0.2538, 0.6586)  7 Pt 2.73-2.80, 1 Ag 2.83, 1 Mg 2.99
Mg (0.5000, 0.2579, 0.0000)  6 Pt 2.73-2.77, 2 Ag 2.80
Mg (0.5000, 0.7421, 0.0000)  6 Pt 2.73-2.77, 2 Ag 2.80
Mg (0.1682, 0.7462, 0.3414)  7 Pt 2.73-2.80, 1 Ag 2.83, 1 Mg 2.99
Mg (0.1682, 0.2538, 0.3414)  7 Pt 2.73-2.80, 1 Ag 2.83, 1 Mg 2.99
Pt (0.6616, 0.5000, 0.3305)  8 Mg 2.73-2.75, 1 Pt 3.02
Pt (0.3364, 0.0000, 0.6724)  8 Mg 2.77-2.80, 1 Ag 3.02, 1 Pt 3.10
Pt (0.0000, 0.5000, 0.0000)  8 Mg 2.74-2.80, 2 Pt 3.02
Pt (0.6636, 0.0000, 0.3276)  8 Mg 2.77-2.80, 1 Ag 3.02, 1 Pt 3.10
Pt (0.3384, 0.5000, 0.6695)  8 Mg 2.73-2.75, 1 Pt 3.02
Ag (0.0000, 0.0000, 0.0000)  8 Mg 2.80-2.83, 2 Pt 3.02


(4)
A plane-wave DFT calculation with PBE was carried out for a geometry-optimized Mg2AgPt structure.

Computed properties:
DFT formation energy (eV per formula unit): -2.20
Energy (eV/atom): -3.572
N(E_F) (states/eV/f.u.): 1.1
Crystal system: orthorhombic

a b c (Å): 4.7065 3.0692 4.7061
angles (deg): 89.99 90.00 90.00
Closest atoms and distances in Å follow each position.
Element x y z (fractional)
Mg (0.0000, 0.1250, 0.8821)  4 Pt 2.81, 4 Ag 2.81, 2 Mg 3.07
Mg (0.5000, 0.1250, 0.3689)  4 Ag 2.80-2.82, 4 Pt 2.81, 2 Mg 3.07
Ag (0.5000, 0.6250, 0.8670)  8 Mg 2.80-2.82, 2 Ag 3.07
Pt (0.0000, 0.6250, 0.3820)  8 Mg 2.81, 2 Pt 3.07


(5)
A plane-wave DFT calculation with PBE was carried out for a geometry-optimized MgAg2Pt structure.

Computed properties:
DFT formation energy (eV per formula unit): -1.30
Energy (eV/atom): -3.660
N(E_F) (states/eV/f.u.): 1.0
Crystal system: tetragonal

a b c (Å): 4.9348 4.9348 4.9348
angles (deg): 130.52 130.50 72.60
Closest atoms and distances in Å follow each position.
Element x y z (fractional)
Ag (0.0000, 0.0000, 0.0000)  4 Pt 2.87, 4 Ag 2.87, 4 Mg 2.92
Ag (0.7500, 0.2500, 0.5000)  4 Mg 2.87, 4 Ag 2.87, 4 Pt 2.92
Mg (0.5000, 0.5000, 0.0000)  4 Pt 2.87, 8 Ag 2.87-2.92
Pt (0.2500, 0.7500, 0.5000)  4 Mg 2.87, 8 Ag 2.87-2.92


(6)
A plane-wave DFT calculation with PBE was carried out for a geometry-optimized Mg2AgPt structure.

Computed properties:
DFT formation energy (eV per formula unit): -1.49
Energy (eV/atom): -3.392
N(E_F) (states/eV/f.u.): 1.4
Crystal system: monoclinic

a b c (Å): 4.6975 4.6975 5.3535
angles (deg): 79.89 79.89 37.36
Closest atoms and distances in Å follow each position.
Element x y z (fractional)
Ag (0.2500, 0.2500, 0.2500)  6 Mg 2.80-2.88, 2 Ag 3.01, 4 Pt 3.07
Mg (0.0067, 0.0067, 0.9858)  3 Pt 2.74-2.81, 3 Ag 2.80-2.88, 4 Mg 2.96-3.01
Mg (0.4933, 0.4933, 0.5142)  3 Pt 2.74-2.81, 3 Ag 2.80-2.88, 4 Mg 2.96-3.01
Pt (0.7500, 0.7500, 0.7500)  6 Mg 2.74-2.81, 2 Pt 3.01, 4 Ag 3.07


(7)
A plane-wave DFT calculation with PBE was carried out for a geometry-optimized Mg3Ag2Pt structure.

Computed properties:
DFT formation energy (eV per formula unit): -2.77
Energy (eV/atom): -3.217
N(E_F) (states/eV/f.u.): 2.7
Crystal system: trigonal

a b c (Å): 4.6220 4.6220 11.3377
angles (deg): 90.00 90.00 120.00
Closest atoms and distances in Å follow each position.
Element x y z (fractional)
Mg (0.3333, 0.6667, 0.4169)  4 Pt 2.81-2.83, 4 Ag 2.83
Mg (0.6667, 0.3333, 0.0908)  1 Pt 2.77, 7 Ag 2.81-2.93
Mg (0.0000, 0.0000, 0.7424)  5 Ag 2.75-2.92, 3 Pt 2.81
Mg (0.0000, 0.0000, 0.2576)  5 Ag 2.75-2.92, 3 Pt 2.81
Mg (0.3333, 0.6667, 0.9092)  1 Pt 2.77, 7 Ag 2.81-2.93
Mg (0.6667, 0.3333, 0.5831)  4 Pt 2.81-2.83, 4 Ag 2.83
Ag (0.0000, 0.0000, 0.5000)  8 Mg 2.75-2.83
Ag (0.3333, 0.6667, 0.1675)  8 Mg 2.81-2.93
Ag (0.6667, 0.3333, 0.8325)  8 Mg 2.81-2.93
Ag (0.0000, 0.0000, 0.0000)  8 Mg 2.86-2.92
Pt (0.3333, 0.6667, 0.6652)  8 Mg 2.77-2.83
Pt (0.6667, 0.3333, 0.3348)  8 Mg 2.77-2.83


(8)
A plane-wave DFT calculation with PBE was carried out for a geometry-optimized MgAg2Pt structure.

Computed properties:
DFT formation energy (eV per formula unit): -1.24
Energy (eV/atom): -3.645
N(E_F) (states/eV/f.u.): 1.2
Crystal system: monoclinic

a b c (Å): 3.9390 2.9598 6.5396
angles (deg): 63.59 90.00 90.00
Closest atoms and distances in Å follow each position.
Element x y z (fractional)
Ag (0.0000, 0.0002, 0.9993)  2 Mg 2.80-3.06, 6 Ag 2.85-2.96, 4 Pt 2.91-2.92
Ag (0.5000, 0.2552, 0.2456)  6 Ag 2.85-2.96, 2 Pt 2.86-3.00, 4 Mg 2.94-2.96
Mg (0.0000, 0.4775, 0.5220)  4 Pt 2.75-2.76, 6 Ag 2.80-3.06, 2 Mg 2.96
Pt (0.5000, 0.7671, 0.7331)  4 Mg 2.75-2.76, 6 Ag 2.86-3.00, 2 Pt 2.96


(9)
A plane-wave DFT calculation with PBE was carried out for a geometry-optimized MgAgPt structure.

Computed properties:
DFT formation energy (eV per formula unit): -1.31
Energy (eV/atom): -3.931
N(E_F) (states/eV/f.u.): 0.9
Crystal system: orthorhombic

a b c (Å): 5.0175 5.0175 5.0175
angles (deg): 145.81 134.06 58.49
Closest atoms and distances in Å follow each position.
Element x y z (fractional)
Ag (0.9995, 0.9995, 0.0000)  5 Mg 2.84-2.89, 5 Pt 2.85-2.89, 2 Ag 2.95
Mg (0.6751, 0.6751, 0.0000)  5 Pt 2.78-3.06, 5 Ag 2.84-2.89, 2 Mg 2.95
Pt (0.3254, 0.3254, 0.0000)  5 Mg 2.78-3.06, 5 Ag 2.85-2.89, 2 Pt 2.95


(10)
A plane-wave DFT calculation with PBE was carried out for a geometry-optimized Mg2AgPt2 structure.

Computed properties:
DFT formation energy (eV per formula unit): -2.66
Energy (eV/atom): -4.155
N(E_F) (states/eV/f.u.): 1.6
Crystal system: tetragonal

a b c (Å): 7.6782 7.6782 2.9050
angles (deg): 90.00 90.00 90.00
Closest atoms and distances in Å follow each position.
Element x y z (fractional)
Mg (0.3575, 0.8575, 0.0000)  6 Pt 2.65-2.70, 2 Mg 2.90, 2 Ag 2.95
Mg (0.8575, 0.6425, 0.0000)  6 Pt 2.65-2.70, 2 Mg 2.90, 2 Ag 2.95
Mg (0.6425, 0.1425, 0.0000)  6 Pt 2.65-2.70, 2 Mg 2.90, 2 Ag 2.95
Mg (0.1425, 0.3575, 0.0000)  6 Pt 2.65-2.70, 2 Mg 2.90, 2 Ag 2.95
Ag (0.0000, 0.0000, 0.0000)  2 Ag 2.90, 4 Mg 2.95, 8 Pt 3.25
Ag (0.5000, 0.5000, 0.0000)  2 Ag 2.90, 4 Mg 2.95, 8 Pt 3.25
Pt (0.1536, 0.6536, 0.5000)  6 Mg 2.65-2.70, 2 Pt 2.90
Pt (0.6536, 0.8464, 0.5000)  6 Mg 2.65-2.70, 2 Pt 2.90
Pt (0.8464, 0.3464, 0.5000)  6 Mg 2.65-2.70, 2 Pt 2.90
Pt (0.3464, 0.1536, 0.5000)  6 Mg 2.65-2.70, 2 Pt 2.90


(11)
A plane-wave DFT calculation with PBE was carried out for a geometry-optimized MgAg2Pt structure.

Computed properties:
DFT formation energy (eV per formula unit): -1.15
Energy (eV/atom): -3.623
N(E_F) (states/eV/f.u.): 1.4
Crystal system: cubic

a b c (Å): 4.5943 4.5943 4.5943
angles (deg): 60.00 60.00 60.00
Closest atoms and distances in Å follow each position.
Element x y z (fractional)
Ag (0.0000, 0.0000, 0.0000)  4 Ag 2.81, 4 Pt 2.81
Ag (0.2500, 0.2500, 0.2500)  4 Mg 2.81, 4 Ag 2.81
Mg (0.5000, 0.5000, 0.5000)  4 Pt 2.81, 4 Ag 2.81
Pt (0.7500, 0.7500, 0.7500)  4 Mg 2.81, 4 Ag 2.81


(12)
A plane-wave DFT calculation with PBE was carried out for a geometry-optimized Mg2AgPt2 structure.

Computed properties:
DFT formation energy (eV per formula unit): -1.29
Energy (eV/atom): -3.882
N(E_F) (states/eV/f.u.): 1.5
Crystal system: tetragonal

a b c (Å): 4.0726 4.0726 6.5068
angles (deg): 71.76 71.76 90.00
Closest atoms and distances in Å follow each position.
Element x y z (fractional)
Mg (0.7500, 0.2500, 0.5000)  4 Pt 2.61, 4 Mg 2.88
Mg (0.2500, 0.7500, 0.5000)  4 Pt 2.61, 4 Mg 2.88
Ag (0.0000, 0.0000, 0.0000)  8 Pt 3.15
Pt (0.3897, 0.3897, 0.2205)  1 Pt 2.57, 4 Mg 2.61
Pt (0.6103, 0.6103, 0.7795)  1 Pt 2.57, 4 Mg 2.61


(13)
A plane-wave DFT calculation with PBE was carried out for a geometry-optimized MgAgPt3 structure.

Computed properties:
DFT formation energy (eV per formula unit): 3.81
Energy (eV/atom): -3.752
N(E_F) (states/eV/f.u.): 2.7
Crystal system: cubic

a b c (Å): 4.6228 4.6228 4.6228
angles (deg): 90.00 90.00 90.00
Closest atoms and distances in Å follow each position.
Element x y z (fractional)
Mg (0.0000, 0.0000, 0.0000)  6 Pt 2.31
Ag (0.5000, 0.5000, 0.5000)  12 Pt 3.27
Pt (0.0000, 0.5000, 0.0000)  2 Mg 2.31
Pt (0.0000, 0.0000, 0.5000)  2 Mg 2.31
Pt (0.5000, 0.0000, 0.0000)  2 Mg 2.31


(14)
A plane-wave DFT calculation with PBE was carried out for a geometry-optimized Mg4AgPt structure.

Computed properties:
DFT formation energy (eV per formula unit): -2.46
Energy (eV/atom): -2.955
N(E_F) (states/eV/f.u.): 2.3
Crystal system: monoclinic

a b c (Å): 3.3950 5.4289 7.2328
angles (deg): 108.23 76.43 71.78
Closest atoms and distances in Å follow each position.
Element x y z (fractional)
Mg (0.8394, 0.5073, 0.8138)  2 Pt 2.77, 2 Ag 2.88, 3 Mg 2.94-3.08
Mg (0.3111, 0.0400, 0.3377)  2 Pt 2.75, 2 Ag 2.86, 3 Mg 2.94-3.01
Mg (0.1606, 0.4927, 0.1862)  2 Pt 2.77, 2 Ag 2.88, 3 Mg 2.94-3.08
Mg (0.6889, 0.9600, 0.6623)  2 Pt 2.75, 2 Ag 2.86, 3 Mg 2.94-3.01
Ag (0.0000, 0.0000, 0.0000)  8 Mg 2.86-2.88
Pt (0.5000, 0.5000, 0.5000)  8 Mg 2.75-2.77